1.
The following is a DFT calculation (PBE) of a relaxed structure of La2GaPt7.

## Properties
Calculated density (g/cm3): 14.070
Formation enthalpy at 0 K (eV per atom): -0.745

Cell and atoms, written as CIF:
```
data_La2GaPt7
_chemical_formula_sum 'La2 Ga1 Pt7'
_symmetry_space_group_name_H-M 'P -4 m 2'
_symmetry_Int_Tables_number 115
_symmetry_space_group_name_Hall 'P -4 -2'
_cell_length_a 4.0402
_cell_length_b 4.0402
_cell_length_c 12.3860
_cell_angle_alpha 90.00
_cell_angle_beta 90.00
_cell_angle_gamma 90.00
loop_
_atom_site_label
_atom_site_fract_x
_atom_site_fract_y
_atom_site_fract_z
_atom_site_occupancy
La1 0.0000 0.5000 0.2315 1
Ga1 0.0000 0.0000 0.5000 1
Pt1 0.0000 0.0000 0.0000 1
Pt2 0.0000 0.5000 0.6402 1
Pt3 0.0000 0.5000 0.8483 1
Pt4 0.5000 0.5000 0.0000 1
Pt5 0.5000 0.5000 0.5000 1
```

2.
The following is a DFT calculation (PBE) of a relaxed structure of LaGaPt.

## Properties
Calculated density (g/cm3): 9.146
Formation enthalpy at 0 K (eV per atom): -0.972

Cell and atoms, written as CIF:
```
data_LaGaPt
_chemical_formula_sum 'La4 Ga4 Pt4'
_symmetry_space_group_name_H-M 'P 21 3'
_symmetry_Int_Tables_number 198
_symmetry_space_group_name_Hall 'P 2ac 2ab 3'
_cell_length_a 6.6433
_cell_length_b 6.6433
_cell_length_c 6.6433
_cell_angle_alpha 90.00
_cell_angle_beta 90.00
_cell_angle_gamma 90.00
loop_
_atom_site_label
_atom_site_fract_x
_atom_site_fract_y
_atom_site_fract_z
_atom_site_occupancy
La1 0.1545 0.1545 0.1545 1
Ga1 0.1611 0.3389 0.6611 1
Pt1 0.0582 0.5582 0.9418 1
```

3.
The following is a DFT calculation (PBE) of a relaxed structure of La2Ga12Pt.

## Properties
Calculated density (g/cm3): 7.211
Formation enthalpy at 0 K (eV per atom): -0.494

Cell and atoms, written as CIF:
```
data_La2Ga12Pt
_chemical_formula_sum 'La4 Ga24 Pt2'
_symmetry_space_group_name_H-M 'P 4/n b m'
_symmetry_Int_Tables_number 125
_cell_length_a 6.2194
_cell_length_b 6.2194
_cell_length_c 15.5927
_cell_angle_alpha 90.00
_cell_angle_beta 90.00
_cell_angle_gamma 90.00
loop_
_symmetry_equiv_pos_as_xyz
'x,y,z'
'-x,-y,-z'
'-y+1/2,x,z'
'y+1/2,-x,-z'
'-x+1/2,-y+1/2,z'
'x+1/2,y+1/2,-z'
'y,-x+1/2,z'
'-y,x+1/2,-z'
'x,-y+1/2,-z'
'-x,y+1/2,z'
'-y+1/2,-x+1/2,-z'
'y+1/2,x+1/2,z'
'-x+1/2,y,-z'
'x+1/2,-y,z'
'y,x,-z'
'-y,-x,z'
loop_
_atom_site_label
_atom_site_fract_x
_atom_site_fract_y
_atom_site_fract_z
_atom_site_occupancy
La1 0.2500 0.7500 0.2427 1
Ga1 0.0002 0.9998 0.0882 1
Ga2 0.0790 0.5790 0.4313 1
Ga3 0.2500 0.2500 0.1858 1
Ga4 0.2500 0.2500 0.3458 1
Pt1 0.2500 0.7500 0.0000 1
```

4.
The following is a DFT calculation (PBE) of a relaxed structure of La3Ga5Pt6.

## Properties
Calculated density (g/cm3): 11.364
Formation enthalpy at 0 K (eV per atom): -0.948

Cell and atoms, written as CIF:
```
data_La3Ga5Pt6
_chemical_formula_sum 'La6 Ga10 Pt12'
_symmetry_space_group_name_H-M 'P m m n'
_symmetry_Int_Tables_number 59
_cell_length_a 4.2836
_cell_length_b 13.0085
_cell_length_c 10.1523
_cell_angle_alpha 90.00
_cell_angle_beta 90.00
_cell_angle_gamma 90.00
loop_
_symmetry_equiv_pos_as_xyz
'x,y,z'
'-x,-y,-z'
'-x+1/2,-y+1/2,z'
'x+1/2,y+1/2,-z'
'x+1/2,-y,-z'
'-x+1/2,y,z'
'-x,y+1/2,-z'
'x,-y+1/2,z'
loop_
_atom_site_label
_atom_site_fract_x
_atom_site_fract_y
_atom_site_fract_z
_atom_site_occupancy
La1 0.2500 0.0863 0.2471 1
La2 0.2500 0.7500 0.2486 1
Ga1 0.2500 0.0795 0.6440 1
Ga2 0.2500 0.6301 0.9851 1
Ga3 0.2500 0.7500 0.6251 1
Pt1 0.2500 0.0495 0.8924 1
Pt2 0.2500 0.2500 0.5131 1
Pt3 0.2500 0.2500 0.9965 1
Pt4 0.2500 0.5810 0.4921 1
```

5.
The following is a DFT calculation (PBE) of a relaxed structure of La2Ga5Pt.

## Properties
Calculated density (g/cm3): 7.865
Formation enthalpy at 0 K (eV per atom): -0.727

Cell and atoms, written as CIF:
```
data_La2Ga5Pt
_chemical_formula_sum 'La8 Ga20 Pt4'
_symmetry_space_group_name_H-M 'C m c m'
_symmetry_Int_Tables_number 63
_symmetry_space_group_name_Hall '-C 2c 2'
_cell_length_a 4.3160
_cell_length_b 17.6386
_cell_length_c 9.1139
_cell_angle_alpha 90.00
_cell_angle_beta 90.00
_cell_angle_gamma 90.00
loop_
_atom_site_label
_atom_site_fract_x
_atom_site_fract_y
_atom_site_fract_z
_atom_site_occupancy
La1 0.0000 0.0000 0.0000 1
La2 0.0000 0.2025 0.2500 1
Ga1 0.0000 0.1846 0.6092 1
Ga2 0.0000 0.3578 0.5150 1
Ga3 0.0000 0.4218 0.2500 1
Pt1 0.0000 0.4346 0.7500 1
```

6.
The following is a DFT calculation (PBE) of a relaxed structure of LaGa3Pt2.

## Properties
Calculated density (g/cm3): 10.550
Formation enthalpy at 0 K (eV per atom): -0.874

Cell and atoms, written as CIF:
```
data_LaGa3Pt2
_chemical_formula_sum 'La6 Ga18 Pt12'
_symmetry_space_group_name_H-M 'C 1 2/m 1'
_symmetry_Int_Tables_number 12
_symmetry_space_group_name_Hall '-C 2y'
_cell_length_a 16.7388
_cell_length_b 4.2793
_cell_length_c 10.2022
_cell_angle_alpha 90.00
_cell_angle_beta 107.44
_cell_angle_gamma 90.00
loop_
_atom_site_label
_atom_site_fract_x
_atom_site_fract_y
_atom_site_fract_z
_atom_site_occupancy
La1 0.0000 0.0000 0.0000 1
La2 0.1582 0.0000 0.7075 1
Ga1 0.0000 0.5000 0.5000 1
Ga2 0.0422 0.0000 0.3622 1
Ga3 0.1314 0.5000 0.1947 1
Ga4 0.1656 0.5000 0.9565 1
Ga5 0.2148 0.0000 0.3849 1
Pt1 0.0203 0.5000 0.7779 1
Pt2 0.1409 0.5000 0.4483 1
Pt3 0.1995 0.0000 0.1199 1
```

7.
The following is a DFT calculation (PBE) of a relaxed structure of LaGaPt4.

## Properties
Calculated density (g/cm3): 14.435
Formation enthalpy at 0 K (eV per atom): -0.804

Cell and atoms, written as CIF:
```
data_LaGaPt4
_chemical_formula_sum 'La4 Ga4 Pt16'
_symmetry_space_group_name_H-M 'F -4 3 m'
_symmetry_Int_Tables_number 216
_symmetry_space_group_name_Hall 'F -4 2 3'
_cell_length_a 7.6917
_cell_length_b 7.6917
_cell_length_c 7.6917
_cell_angle_alpha 90.00
_cell_angle_beta 90.00
_cell_angle_gamma 90.00
loop_
_atom_site_label
_atom_site_fract_x
_atom_site_fract_y
_atom_site_fract_z
_atom_site_occupancy
La1 0.0000 0.0000 0.0000 1
Ga1 0.2500 0.2500 0.7500 1
Pt1 0.1242 0.1242 0.3758 1
```

8.
The following is a DFT calculation (PBE) of a relaxed structure of La2GaPt2.

## Properties
Calculated density (g/cm3): 9.590
Formation enthalpy at 0 K (eV per atom): -0.727

Cell and atoms, written as CIF:
```
data_La2GaPt2
_chemical_formula_sum 'La4 Ga2 Pt4'
_symmetry_space_group_name_H-M 'I 4/m m m'
_symmetry_Int_Tables_number 139
_symmetry_space_group_name_Hall '-I 4 2'
_cell_length_a 3.8862
_cell_length_b 3.8862
_cell_length_c 16.9168
_cell_angle_alpha 90.00
_cell_angle_beta 90.00
_cell_angle_gamma 90.00
loop_
_atom_site_label
_atom_site_fract_x
_atom_site_fract_y
_atom_site_fract_z
_atom_site_occupancy
La1 0.0000 0.0000 0.1147 1
Ga1 0.0000 0.0000 0.5000 1
Pt1 0.0000 0.5000 0.2500 1
```

What did the fifth record say?
The following is a DFT calculation (PBE) of a relaxed structure of La2Ga5Pt.

## Properties
Calculated density (g/cm3): 7.865
Formation enthalpy at 0 K (eV per atom): -0.727

Cell and atoms, written as CIF:
```
data_La2Ga5Pt
_chemical_formula_sum 'La8 Ga20 Pt4'
_symmetry_space_group_name_H-M 'C m c m'
_symmetry_Int_Tables_number 63
_symmetry_space_group_name_Hall '-C 2c 2'
_cell_length_a 4.3160
_cell_length_b 17.6386
_cell_length_c 9.1139
_cell_angle_alpha 90.00
_cell_angle_beta 90.00
_cell_angle_gamma 90.00
loop_
_atom_site_label
_atom_site_fract_x
_atom_site_fract_y
_atom_site_fract_z
_atom_site_occupancy
La1 0.0000 0.0000 0.0000 1
La2 0.0000 0.2025 0.2500 1
Ga1 0.0000 0.1846 0.6092 1
Ga2 0.0000 0.3578 0.5150 1
Ga3 0.0000 0.4218 0.2500 1
Pt1 0.0000 0.4346 0.7500 1
```